1.
SbTe2 | SCAN | PBEsol geometry

POSCAR file:
```
SbTe2
1.0
3.822 0.000 0.000
0.000 3.924 0.000
0.000 0.000 24.413
Sb Te
4 8
Direct
0.000 0.250 0.116 Sb
0.000 0.750 0.884 Sb
0.500 0.250 0.384 Sb
0.500 0.750 0.616 Sb
0.000 0.250 0.560 Te
0.000 0.250 0.705 Te
0.000 0.750 0.295 Te
0.000 0.750 0.440 Te
0.500 0.250 0.795 Te
0.500 0.250 0.940 Te
0.500 0.750 0.060 Te
0.500 0.750 0.205 Te
```

Output
- N(E_F): 5.782 states/eV per cell
- Uncorrected formation energy: 0.181 eV per atom
- SG: Imma

=====

2.
Sb3Te | SCAN | PBEsol geometry

POSCAR file:
```
Sb3Te
1.0
4.357 0.000 0.000
-2.179 3.773 0.000
0.000 0.000 21.484
Sb Te
9 3
Direct
0.000 0.000 0.000 Sb
0.000 0.000 0.253 Sb
0.000 0.000 0.747 Sb
0.333 0.667 0.414 Sb
0.333 0.667 0.667 Sb
0.333 0.667 0.920 Sb
0.667 0.333 0.080 Sb
0.667 0.333 0.333 Sb
0.667 0.333 0.586 Sb
0.000 0.000 0.500 Te
0.333 0.667 0.167 Te
0.667 0.333 0.833 Te
```

Output
- N(E_F): 5.895 states/eV per cell
- Uncorrected formation energy: 0.001 eV per atom
- SG: R-3m

=====

3.
SbTe5 | SCAN | PBEsol geometry

POSCAR file:
```
SbTe5
1.0
5.113 0.000 0.000
0.000 11.404 0.000
0.000 0.000 5.591
Sb Te
2 10
Direct
0.000 0.000 0.000 Sb
0.500 0.500 0.000 Sb
0.000 0.165 0.500 Te
0.000 0.341 0.000 Te
0.000 0.500 0.500 Te
0.000 0.659 0.000 Te
0.000 0.835 0.500 Te
0.500 0.000 0.500 Te
0.500 0.159 0.000 Te
0.500 0.335 0.500 Te
0.500 0.665 0.500 Te
0.500 0.841 0.000 Te
```

Output
- N(E_F): 7.962 states/eV per cell
- Uncorrected formation energy: 0.285 eV per atom
- SG: Cmmm

=====

4.
TiSbTe2 | SCAN | PBEsol geometry

POSCAR file:
```
TiSbTe2
1.0
3.599 0.000 0.000
-1.800 3.117 0.000
0.000 0.000 28.747
Ti Sb Te
3 3 6
Direct
0.000 0.000 0.000 Ti
0.333 0.667 0.667 Ti
0.667 0.333 0.333 Ti
0.000 0.000 0.500 Sb
0.333 0.667 0.167 Sb
0.667 0.333 0.833 Sb
0.000 0.000 0.394 Te
0.000 0.000 0.606 Te
0.333 0.667 0.061 Te
0.333 0.667 0.272 Te
0.667 0.333 0.728 Te
0.667 0.333 0.939 Te
```

Output
- N(E_F): 7.248 states/eV per cell
- Uncorrected formation energy: -0.356 eV per atom
- SG: R-3m

=====

5.
TiSbTe2W | SCAN | PBEsol geometry

POSCAR file:
```
TiSbTe2W
1.0
5.130 0.000 0.000
0.000 5.130 0.000
0.000 0.000 5.186
Ti Sb Te W
1 1 2 1
Direct
0.000 0.000 0.000 Ti
0.000 0.000 0.500 Sb
0.000 0.500 0.000 Te
0.500 0.000 0.000 Te
0.500 0.500 0.500 W
```

Output
- N(E_F): 3.805 states/eV per cell
- Uncorrected formation energy: 1.165 eV per atom
- SG: P4/mmm

=====

6.
TiZnSbTe2 | SCAN | PBEsol geometry

POSCAR file:
```
TiZnSbTe2
1.0
5.255 0.000 0.000
0.000 5.255 0.000
0.000 0.000 4.930
Ti Zn Sb Te
1 1 1 2
Direct
0.000 0.000 0.000 Ti
0.500 0.500 0.500 Zn
0.500 0.500 0.000 Sb
0.000 0.500 0.500 Te
0.500 0.000 0.500 Te
```

Output
- N(E_F): 3.334 states/eV per cell
- Uncorrected formation energy: 0.559 eV per atom
- SG: P4/mmm

=====

7.
TlSb2Te | SCAN | PBEsol geometry

POSCAR file:
```
TlSb2Te
1.0
13.539 0.000 0.000
0.000 3.225 0.000
-2.365 0.000 5.313
Tl Sb Te
2 4 2
Direct
0.000 0.000 0.000 Tl
0.500 0.500 0.000 Tl
0.247 0.500 0.751 Sb
0.253 0.000 0.249 Sb
0.747 0.000 0.751 Sb
0.753 0.500 0.249 Sb
0.000 0.500 0.500 Te
0.500 0.000 0.500 Te
```

Output
- N(E_F): 3.325 states/eV per cell
- Uncorrected formation energy: 0.051 eV per atom
- SG: C2/m

=====

8.
USbTe | SCAN | PBEsol geometry

POSCAR file:
```
USbTe
1.0
4.241 0.000 0.000
0.000 4.241 0.000
0.000 0.000 8.788
U Sb Te
2 2 2
Direct
0.250 0.250 0.226 U
0.750 0.750 0.774 U
0.250 0.750 0.500 Sb
0.750 0.250 0.500 Sb
0.250 0.250 0.864 Te
0.750 0.750 0.136 Te
```

Output
- N(E_F): 16.067 states/eV per cell
- Uncorrected formation energy: -0.454 eV per atom
- SG: P4/nmm